A plane-wave DFT calculation with GGA-PBEsol was carried out for TcMoAs2 after structural relaxation.

Output
Its energy above the most stable polymorph in this dataset is 1.28 eV per formula unit. The calculated density comes out at 9.251 g/cm³. The value obtained for the total DFT energy (no corrections) is -32.13 eV per cell. As for the formation energy from the elements: 0.279 eV/atom. The value obtained for the density of states at the Fermi level is 0.86 states/eV per atom.

Unit cell a=3.0652 b=3.9675 c=5.0740 alpha=90.00 beta=90.00 gamma=90.00
With the nearest neighbours (Å) after each atom.
Space group Pmmm (No. 47)
Asymmetric unit:
1 Tc 0.0000 0.0000 0.0000 [1 per cell]  4 As 2.51
2 Mo 0.5000 0.0000 0.5000 [1 per cell]  4 As 2.51
3 As 0.0000 0.5000 0.5000 [1 per cell]  4 Mo 2.51
4 As 0.5000 0.5000 0.0000 [1 per cell]  4 Tc 2.51